## CeHo2U2Ru5 (GGA-PBE)

Data for an optimized crystal structure of CeHo2U2Ru5.

Cell lengths 3.6371, 10.5123, 10.5123 Å; angles 90.00, 90.00, 90.00 degrees
With the nearest neighbours (Å) after each atom.
Sites, in units of the cell vectors:
1 Ho 0.0000 0.8254 0.6746  1 U 2.85, 2 Ru 3.17
2 Ho 0.0000 0.1746 0.3254  1 U 2.85, 2 Ru 3.17
3 Ho 0.0000 0.6746 0.1746  1 U 2.85, 2 Ru 3.17
4 Ho 0.0000 0.3254 0.8254  1 U 2.85, 2 Ru 3.17
5 Ru 0.5000 0.9465 0.2076  2 U 2.61, 2 Ce 2.90
6 Ru 0.5000 0.5535 0.7076  2 U 2.61, 2 Ce 2.90
7 Ru 0.5000 0.2924 0.5535  2 U 2.61, 2 Ce 2.90
8 Ru 0.5000 0.0000 0.5000  4 U 2.69
9 Ru 0.5000 0.5000 0.0000  4 U 2.69
10 Ru 0.5000 0.2076 0.0535  2 U 2.61, 2 Ce 2.90
11 Ru 0.5000 0.4465 0.2924  2 U 2.61, 2 Ce 2.90
12 Ru 0.5000 0.0535 0.7924  2 U 2.61, 2 Ce 2.90
13 Ru 0.5000 0.7924 0.9465  2 U 2.61, 2 Ce 2.90
14 Ru 0.5000 0.7076 0.4465  2 U 2.61, 2 Ce 2.90
15 U 0.0000 0.1337 0.6337  6 Ru 2.61-2.69, 1 Ho 2.85
16 U 0.0000 0.3663 0.1337  6 Ru 2.61-2.69, 1 Ho 2.85
17 U 0.0000 0.6337 0.8663  6 Ru 2.61-2.69, 1 Ho 2.85
18 U 0.0000 0.8663 0.3663  6 Ru 2.61-2.69, 1 Ho 2.85
19 Ce 0.0000 0.0000 0.0000  8 Ru 2.90
20 Ce 0.0000 0.5000 0.5000  8 Ru 2.90

Results
As for the space-group type: No. 127. The calculated total energy is -8.70 eV per atom. Its magnetic moment is 0.0 Bohr magnetons per cell.

---

## PmPr2Er5Tm (GGA-PBE)

Data for an optimized crystal structure of PmPr2Er5Tm.

Cell lengths 8.6720, 8.6720, 9.8985 Å; angles 115.98, 115.98, 90.00 degrees
With the nearest neighbours (Å) after each atom.
Sites, in units of the cell vectors:
1 Er 0.4277 0.3519 0.2797  1 Pr 3.01, 1 Tm 3.11
2 Er 0.6481 0.1481 0.7203  1 Pr 3.01, 1 Tm 3.11
3 Er 0.0000 0.0000 0.0000  4 Pr 3.47, 8 Er 3.79, 2 Pm 3.89
4 Er 0.5000 0.5000 0.0000  4 Pr 3.47, 8 Er 3.79, 2 Pm 3.89
5 Er 0.0723 0.5723 0.7203  1 Pr 3.01, 1 Tm 3.11
6 Er 0.9277 0.4277 0.2797  1 Pr 3.01, 1 Tm 3.11
7 Er 0.8519 0.9277 0.2797  1 Pr 3.01, 1 Tm 3.11
8 Er 0.1481 0.0723 0.7203  1 Pr 3.01, 1 Tm 3.11
9 Er 0.3519 0.8519 0.2797  1 Pr 3.01, 1 Tm 3.11
10 Er 0.5723 0.6481 0.7203  1 Pr 3.01, 1 Tm 3.11
11 Pr 0.3824 0.8824 0.0000  1 Pr 2.89, 2 Er 3.01
12 Pr 0.8824 0.6176 0.0000  1 Pr 2.89, 2 Er 3.01
13 Pr 0.1176 0.3824 0.0000  1 Pr 2.89, 2 Er 3.01
14 Pr 0.6176 0.1176 0.0000  1 Pr 2.89, 2 Er 3.01
15 Pm 0.2500 0.2500 0.5000  10 Er 3.54-3.89
16 Pm 0.7500 0.7500 0.5000  10 Er 3.54-3.89
17 Tm 0.7500 0.2500 0.5000  4 Er 3.11
18 Tm 0.2500 0.7500 0.5000  4 Er 3.11

Results
As for the space-group type: No. 140. The calculated total energy is -4.35 eV per atom. Its magnetic moment is 0.0 Bohr magnetons per cell.

---

## Sr5TmHg6 (GGA-PBE)

Data for an optimized crystal structure of Sr5TmHg6.

Cell lengths 5.5621, 7.9123, 8.7966 Å; angles 90.00, 71.57, 90.00 degrees
With the nearest neighbours (Å) after each atom.
Sites, in units of the cell vectors:
1 Sr 0.6682 0.5000 0.6627  8 Hg 3.47-3.56, 1 Sr 3.88
2 Sr 0.3334 0.0000 0.3344  8 Hg 3.33-3.48
3 Sr 0.3318 0.5000 0.3373  8 Hg 3.47-3.56
4 Sr 0.0000 0.5000 0.0000  8 Hg 3.35-3.51
5 Sr 0.6666 0.0000 0.6656  8 Hg 3.33-3.48
6 Hg 0.1563 0.2385 0.6847  1 Tm 3.24, 7 Sr 3.35-3.56
7 Hg 0.1563 0.7615 0.6847  1 Tm 3.24, 7 Sr 3.35-3.56
8 Hg 0.8437 0.7615 0.3153  1 Tm 3.24, 7 Sr 3.35-3.56
9 Hg 0.8437 0.2385 0.3153  1 Tm 3.24, 7 Sr 3.35-3.56
10 Hg 0.5000 0.7699 0.0000  2 Tm 3.32, 6 Sr 3.33-3.53, 1 Hg 3.64
11 Hg 0.5000 0.2301 0.0000  2 Tm 3.32, 6 Sr 3.33-3.53, 1 Hg 3.64
12 Tm 0.0000 0.0000 0.0000  8 Hg 3.24-3.32

Results
As for the space-group type: No. 10. The calculated total energy is -1.73 eV per atom. Its magnetic moment is 0.0 Bohr magnetons per cell.